# 1
Compound: Mn2Al3Co
Source: Alexandria
Functional: PBE
Structure: relaxed

Cell: 2.790 2.790 9.780 Å, 90.00 90.00 90.00°
Fractional positions:
Mn 0.000 0.000 0.177
Mn 0.000 0.000 0.823
Al 0.500 0.500 0.000
Al 0.500 0.500 0.350
Al 0.500 0.500 0.650
Co 0.000 0.000 0.500

Summary:
Formation enthalpy at 0 K in eV per formula unit: -2.25

***

# 2
Compound: Mn2Al8Co
Source: Alexandria
Functional: PBE
Structure: relaxed

Cell: 8.443 8.443 5.233 Å, 105.68 105.68 27.01°
Fractional positions:
Mn 0.195 0.195 0.096
Mn 0.805 0.805 0.904
Al 0.035 0.035 0.777
Al 0.223 0.223 0.620
Al 0.357 0.357 0.209
Al 0.402 0.402 0.760
Al 0.598 0.598 0.240
Al 0.643 0.643 0.791
Al 0.777 0.777 0.380
Al 0.965 0.965 0.223
Co 0.500 0.500 0.500

Summary:
Formation enthalpy at 0 K in eV per formula unit: -2.37

***

# 3
Compound: MnAlCo3
Source: Alexandria
Functional: PBE
Structure: relaxed

Cell: 4.171 4.171 4.171 Å, 90.00 90.00 90.00°
Fractional positions:
Mn 0.000 0.000 0.000
Al 0.500 0.500 0.500
Co 0.000 0.500 0.500
Co 0.500 0.000 0.500
Co 0.500 0.500 0.000

Summary:
Formation enthalpy at 0 K in eV per formula unit: 6.83
Offset from the most stable computed form in meV per atom: 374

***

# 4
Compound: MnAlCo
Source: Alexandria
Functional: PBE
Structure: relaxed

Cell: 4.051 4.051 2.642 Å, 90.00 90.00 120.00°
Fractional positions:
Mn 0.000 0.000 0.000
Al 0.333 0.667 0.405
Co 0.667 0.333 0.721

Summary:
Formation enthalpy at 0 K in eV per formula unit: -0.57

***

# 5
Compound: Mn2AlCo3
Source: Alexandria
Functional: PBE
Structure: relaxed

Cell: 6.347 6.347 2.878 Å, 90.00 90.00 143.17°
Fractional positions:
Mn 0.165 0.835 0.000
Mn 0.835 0.165 0.000
Al 0.500 0.500 0.000
Co 0.000 0.000 0.500
Co 0.331 0.669 0.500
Co 0.669 0.331 0.500

Summary:
Formation enthalpy at 0 K in eV per formula unit: -1.34

***

# 6
Compound: MnAlCo2
Source: Alexandria
Functional: PBE
Structure: relaxed

Cell: 8.045 8.045 8.045 Å, 18.48 18.48 18.48°
Fractional positions:
Mn 0.000 0.000 0.000
Al 0.500 0.500 0.500
Co 0.252 0.252 0.252
Co 0.748 0.748 0.748

Summary:
Formation enthalpy at 0 K in eV per formula unit: -0.09

***

# 7
Compound: MnAl8Co2
Source: Alexandria
Functional: PBE
Structure: relaxed

Cell: 6.741 6.741 4.096 Å, 90.00 90.00 106.23°
Fractional positions:
Mn 0.000 0.000 0.000
Al 0.125 0.875 0.500
Al 0.129 0.379 0.000
Al 0.376 0.624 0.500
Al 0.379 0.129 0.000
Al 0.621 0.871 0.000
Al 0.624 0.376 0.500
Al 0.871 0.621 0.000
Al 0.875 0.125 0.500
Co 0.253 0.747 0.000
Co 0.747 0.253 0.000

Summary:
Formation enthalpy at 0 K in eV per formula unit: -2.40
Offset from the most stable computed form in meV per atom: 26

***

# 8
Compound: Mn4Al5Co
Source: Alexandria
Functional: PBE
Structure: relaxed

Cell: 2.777 2.777 16.780 Å, 90.00 90.00 90.00°
Fractional positions:
Mn 0.000 0.000 0.103
Mn 0.000 0.000 0.310
Mn 0.000 0.000 0.690
Mn 0.000 0.000 0.897
Al 0.500 0.500 0.000
Al 0.500 0.500 0.207
Al 0.500 0.500 0.412
Al 0.500 0.500 0.588
Al 0.500 0.500 0.793
Co 0.000 0.000 0.500

Summary:
Formation enthalpy at 0 K in eV per formula unit: -3.34

***

# 9
Compound: MnNbAlCo
Source: Alexandria
Functional: PBE
Structure: relaxed

Cell: 4.212 4.212 4.212 Å, 60.00 60.00 60.00°
Fractional positions:
Mn 0.000 0.000 0.000
Nb 0.750 0.750 0.750
Al 0.250 0.250 0.250
Co 0.500 0.500 0.500

Summary:
Formation enthalpy at 0 K in eV per formula unit: -1.31

***

# 10
Compound: Nd2MnAl12Co3
Source: Alexandria
Functional: PBE
Structure: relaxed

Cell: 10.112 10.112 10.112 Å, 36.60 36.60 36.60°
Fractional positions:
Nd 0.143 0.143 0.143
Nd 0.857 0.857 0.857
Mn 0.500 0.500 0.500
Al 0.097 0.097 0.678
Al 0.097 0.678 0.097
Al 0.136 0.580 0.580
Al 0.322 0.903 0.903
Al 0.420 0.420 0.864
Al 0.420 0.864 0.420
Al 0.580 0.136 0.580
Al 0.580 0.580 0.136
Al 0.678 0.097 0.097
Al 0.864 0.420 0.420
Al 0.903 0.322 0.903
Al 0.903 0.903 0.322
Co 0.000 0.500 0.500
Co 0.500 0.000 0.500
Co 0.500 0.500 0.000

Summary:
Formation enthalpy at 0 K in eV per formula unit: -0.88

***

# 11
Compound: MnAlCoOs
Source: Alexandria
Functional: PBE
Structure: relaxed

Cell: 4.151 4.151 4.151 Å, 60.00 60.00 60.00°
Fractional positions:
Mn 0.000 0.000 0.000
Al 0.500 0.500 0.500
Co 0.750 0.750 0.750
Os 0.250 0.250 0.250

Summary:
Formation enthalpy at 0 K in eV per formula unit: -0.99

***

# 12
Compound: MnAlCoOs2
Source: Alexandria
Functional: PBE
Structure: relaxed

Cell: 4.416 4.416 4.308 Å, 90.00 90.00 90.00°
Fractional positions:
Mn 0.000 0.000 0.000
Al 0.500 0.500 0.000
Co 0.000 0.000 0.500
Os 0.000 0.500 0.500
Os 0.500 0.000 0.500

Summary:
Formation enthalpy at 0 K in eV per formula unit: 6.15

***

# 13
Compound: Pm2MnAl12Co3
Source: Alexandria
Functional: PBE
Structure: relaxed

Cell: 10.119 10.119 10.119 Å, 36.41 36.41 36.41°
Fractional positions:
Pm 0.142 0.142 0.142
Pm 0.858 0.858 0.858
Mn 0.500 0.500 0.500
Al 0.097 0.097 0.677
Al 0.097 0.677 0.097
Al 0.135 0.582 0.582
Al 0.323 0.903 0.903
Al 0.418 0.418 0.865
Al 0.418 0.865 0.418
Al 0.582 0.135 0.582
Al 0.582 0.582 0.135
Al 0.677 0.097 0.097
Al 0.865 0.418 0.418
Al 0.903 0.323 0.903
Al 0.903 0.903 0.323
Co 0.000 0.500 0.500
Co 0.500 0.000 0.500
Co 0.500 0.500 0.000

Summary:
Formation enthalpy at 0 K in eV per formula unit: -0.91

***

# 14
Compound: PuMnAlCo
Source: Alexandria
Functional: PBE
Structure: relaxed

Cell: 4.410 4.410 4.410 Å, 60.00 60.00 60.00°
Fractional positions:
Pu 0.000 0.000 0.000
Mn 0.250 0.250 0.250
Al 0.500 0.500 0.500
Co 0.750 0.750 0.750

Summary:
Formation enthalpy at 0 K in eV per formula unit: -0.67

***

# 15
Compound: MnAlCoRe
Source: Alexandria
Functional: PBE
Structure: relaxed

Cell: 4.138 4.138 4.138 Å, 60.00 60.00 60.00°
Fractional positions:
Mn 0.000 0.000 0.000
Al 0.750 0.750 0.750
Co 0.500 0.500 0.500
Re 0.250 0.250 0.250

Summary:
Formation enthalpy at 0 K in eV per formula unit: -0.59

***

# 16
Compound: MnAlCoSi
Source: Alexandria
Functional: PBE
Structure: relaxed

Cell: 3.988 3.988 3.988 Å, 60.00 60.00 60.00°
Fractional positions:
Mn 0.000 0.000 0.000
Al 0.250 0.250 0.250
Co 0.500 0.500 0.500
Si 0.750 0.750 0.750

Summary:
Offset from the most stable computed form in meV per atom: 23

***

# 17
Compound: MnAlCoSi
Source: Alexandria
Functional: PBE
Structure: relaxed

Cell: 2.808 3.967 4.055 Å, 90.00 90.00 90.00°
Fractional positions:
Mn 0.000 0.000 0.000
Al 0.500 0.000 0.500
Co 0.000 0.500 0.500
Si 0.500 0.500 0.000

Summary:
Offset from the most stable computed form in meV per atom: 0

***

# 18
Compound: Sm2MnAl12Co3
Source: Alexandria
Functional: PBE
Structure: relaxed

Cell: 10.122 10.122 10.122 Å, 36.29 36.29 36.29°
Fractional positions:
Sm 0.142 0.142 0.142
Sm 0.858 0.858 0.858
Mn 0.500 0.500 0.500
Al 0.097 0.097 0.676
Al 0.097 0.676 0.097
Al 0.134 0.584 0.584
Al 0.324 0.903 0.903
Al 0.416 0.416 0.866
Al 0.416 0.866 0.416
Al 0.584 0.134 0.584
Al 0.584 0.584 0.134
Al 0.676 0.097 0.097
Al 0.866 0.416 0.416
Al 0.903 0.324 0.903
Al 0.903 0.903 0.324
Co 0.000 0.500 0.500
Co 0.500 0.000 0.500
Co 0.500 0.500 0.000

Summary:
Formation enthalpy at 0 K in eV per formula unit: -0.88

***

# 19
Compound: TaMnAlCo
Source: Alexandria
Functional: PBE
Structure: relaxed

Cell: 4.202 4.202 4.202 Å, 60.00 60.00 60.00°
Fractional positions:
Ta 0.000 0.000 0.000
Mn 0.750 0.750 0.750
Al 0.500 0.500 0.500
Co 0.250 0.250 0.250

Summary:
Formation enthalpy at 0 K in eV per formula unit: -1.55

***

# 20
Compound: Tb2MnAl12Co3
Source: Alexandria
Functional: PBE
Structure: relaxed

Cell: 11.467 11.467 11.467 Å, 29.15 29.15 29.15°
Fractional positions:
Tb 0.138 0.138 0.138
Tb 0.862 0.862 0.862
Mn 0.500 0.500 0.500
Al 0.107 0.107 0.640
Al 0.107 0.640 0.107
Al 0.111 0.613 0.613
Al 0.360 0.893 0.893
Al 0.387 0.387 0.889
Al 0.387 0.889 0.387
Al 0.613 0.111 0.613
Al 0.613 0.613 0.111
Al 0.640 0.107 0.107
Al 0.889 0.387 0.387
Al 0.893 0.360 0.893
Al 0.893 0.893 0.360
Co 0.000 0.500 0.500
Co 0.500 0.000 0.500
Co 0.500 0.500 0.000

Summary:
Formation enthalpy at 0 K in eV per formula unit: -0.94

***

| no. | D(E_F) (states/eV/f.u.) | total energy (eV/atom) |
| --- | --- | --- |
| 1 | 2.528 | -6.487 |
| 2 | 5.078 | -5.251 |
| 3 | 8.316 | -5.480 |
| 4 | 2.851 | -6.863 |
| 5 | 2.957 | -7.456 |
| 6 | 4.708 | -6.803 |
| 7 | 7.958 | -5.066 |
| 8 | 4.264 | -6.583 |
| 9 | 0.471 | -7.850 |
| 10 | 10.062 | -4.768 |
| 11 | 3.219 | -8.060 |
| 12 | 5.618 | -7.266 |
| 13 | 9.738 | -4.767 |
| 14 | 6.959 | -8.754 |
| 15 | 2.540 | -8.264 |
| 16 | 3.953 | -6.790 |
| 17 | 2.018 | -6.812 |
| 18 | 9.490 | -4.762 |
| 19 | 0.261 | -8.356 |
| 20 | 11.378 | -4.755 |